1.
A plane-wave DFT calculation with GGA-PBE was carried out for a relaxed structure of Sr2SmSi3Pt12.

Magnetization: 0.00 μB per formula unit

Unit cell a=7.774 b=7.774 c=7.774 alpha=65.68 beta=65.68 gamma=65.68
Fractional coordinates of all 18 atoms:
Sr 0.597 0.597 0.597
Sr 0.403 0.403 0.403
Sm 0.000 0.000 0.000
Si 0.500 0.000 0.000
Si 0.000 0.500 0.000
Si 0.000 0.000 0.500
Pt 0.345 0.345 0.906
Pt 0.857 0.857 0.401
Pt 0.401 0.857 0.857
Pt 0.906 0.345 0.345
Pt 0.857 0.401 0.857
Pt 0.345 0.906 0.345
Pt 0.655 0.655 0.094
Pt 0.143 0.143 0.599
Pt 0.599 0.143 0.143
Pt 0.094 0.655 0.655
Pt 0.143 0.599 0.143
Pt 0.655 0.094 0.655

2.
A plane-wave DFT calculation with GGA-PBE was carried out for a relaxed structure of Sm2TaSi3Pt4.

Magnetization: 0.00 μB per formula unit

Unit cell a=4.243 b=4.243 c=10.299 alpha=90.00 beta=90.00 gamma=90.00
Fractional coordinates of all 10 atoms:
Sm 0.500 0.000 0.241
Sm 0.000 0.500 0.759
Ta 0.500 0.500 0.500
Si 0.000 0.000 0.500
Si 0.500 0.000 0.870
Si 0.000 0.500 0.130
Pt 0.500 0.500 0.000
Pt 0.000 0.000 0.000
Pt 0.500 0.000 0.639
Pt 0.000 0.500 0.361

3.
A plane-wave DFT calculation with GGA-PBE was carried out for a relaxed structure of Tb2SmSi2Pt7.

Magnetization: 0.00 μB per formula unit

Unit cell a=4.067 b=4.067 c=13.840 alpha=83.85 beta=83.85 gamma=89.40
Fractional coordinates of all 12 atoms:
Tb 0.884 0.884 0.358
Tb 0.116 0.116 0.642
Sm 0.000 0.000 0.000
Si 0.595 0.595 0.741
Si 0.405 0.405 0.259
Pt 0.500 0.500 0.000
Pt 0.368 0.368 0.428
Pt 0.632 0.632 0.572
Pt 0.939 0.439 0.165
Pt 0.439 0.939 0.165
Pt 0.561 0.061 0.835
Pt 0.061 0.561 0.835

4.
A plane-wave DFT calculation with GGA-PBE was carried out for a relaxed structure of TbSmSi2Pt2.

Magnetization: 0.00 μB per formula unit

Unit cell a=4.162 b=4.162 c=8.260 alpha=90.00 beta=90.00 gamma=120.00
Fractional coordinates of all 6 atoms:
Tb 0.000 0.000 0.500
Sm 0.000 0.000 0.000
Si 0.667 0.333 0.253
Si 0.333 0.667 0.747
Pt 0.667 0.333 0.744
Pt 0.333 0.667 0.256

5.
A plane-wave DFT calculation with GGA-PBE was carried out for a relaxed structure of TbSmSiPt.

Magnetization: 0.00 μB per formula unit

Unit cell a=4.063 b=4.185 c=5.814 alpha=90.00 beta=110.45 gamma=90.00
Fractional coordinates of all 4 atoms:
Tb 0.862 0.500 0.724
Sm 0.143 0.000 0.285
Si 0.573 0.500 0.146
Pt 0.422 0.000 0.844

6.
A plane-wave DFT calculation with GGA-PBE was carried out for a relaxed structure of Sm2TiSi3Pt4.

Magnetization: 0.00 μB per formula unit

Unit cell a=4.240 b=4.240 c=10.145 alpha=90.00 beta=90.00 gamma=90.00
Fractional coordinates of all 10 atoms:
Sm 0.500 0.000 0.246
Sm 0.000 0.500 0.754
Ti 0.500 0.500 0.500
Si 0.000 0.000 0.500
Si 0.500 0.000 0.870
Si 0.000 0.500 0.130
Pt 0.500 0.500 0.000
Pt 0.000 0.000 0.000
Pt 0.500 0.000 0.636
Pt 0.000 0.500 0.364

7.
A plane-wave DFT calculation with GGA-PBE was carried out for a relaxed structure of SmTmSi2Pt5.

Magnetization: 0.00 μB per formula unit

Unit cell a=4.214 b=4.214 c=8.945 alpha=90.00 beta=90.00 gamma=90.00
Fractional coordinates of all 9 atoms:
Sm 0.000 0.000 0.500
Tm 0.000 0.000 0.000
Si 0.500 0.500 0.130
Si 0.500 0.500 0.870
Pt 0.000 0.500 0.260
Pt 0.500 0.000 0.260
Pt 0.000 0.500 0.740
Pt 0.500 0.000 0.740
Pt 0.500 0.500 0.500

8.
A plane-wave DFT calculation with GGA-PBE was carried out for a relaxed structure of Sm2USi3Pt4.

Magnetization: 2.31 μB per formula unit

Unit cell a=4.249 b=4.249 c=10.867 alpha=90.00 beta=90.00 gamma=90.00
Fractional coordinates of all 10 atoms:
Sm 0.500 0.000 0.227
Sm 0.000 0.500 0.773
U 0.500 0.500 0.500
Si 0.000 0.000 0.500
Si 0.500 0.000 0.881
Si 0.000 0.500 0.119
Pt 0.500 0.500 0.000
Pt 0.000 0.000 0.000
Pt 0.500 0.000 0.662
Pt 0.000 0.500 0.338

9.
A plane-wave DFT calculation with GGA-PBE was carried out for a relaxed structure of Sm2VSi4Pt3.

Magnetization: 1.23 μB per formula unit

Unit cell a=4.181 b=4.181 c=10.161 alpha=90.00 beta=90.00 gamma=90.00
Fractional coordinates of all 10 atoms:
Sm 0.500 0.000 0.245
Sm 0.000 0.500 0.755
V 0.500 0.500 0.500
Si 0.500 0.500 0.000
Si 0.000 0.000 0.000
Si 0.500 0.000 0.635
Si 0.000 0.500 0.365
Pt 0.000 0.000 0.500
Pt 0.500 0.000 0.877
Pt 0.000 0.500 0.123

10.
A plane-wave DFT calculation with GGA-PBE was carried out for a relaxed structure of SmYSiPt.

Magnetization: 0.00 μB per formula unit

Unit cell a=4.064 b=4.194 c=5.792 alpha=90.00 beta=110.54 gamma=90.00
Fractional coordinates of all 4 atoms:
Sm 0.143 0.000 0.286
Y 0.862 0.500 0.723
Si 0.572 0.500 0.145
Pt 0.423 0.000 0.846

11.
A plane-wave DFT calculation with GGA-PBE was carried out for a relaxed structure of SmYSi2Pt5.

Magnetization: 0.00 μB per formula unit

Unit cell a=4.217 b=4.217 c=8.994 alpha=90.00 beta=90.00 gamma=90.00
Fractional coordinates of all 9 atoms:
Sm 0.000 0.000 0.500
Y 0.000 0.000 0.000
Si 0.500 0.500 0.131
Si 0.500 0.500 0.869
Pt 0.000 0.500 0.262
Pt 0.500 0.000 0.262
Pt 0.000 0.500 0.738
Pt 0.500 0.000 0.738
Pt 0.500 0.500 0.500

12.
A plane-wave DFT calculation with GGA-PBE was carried out for a relaxed structure of Sm2YSi3Pt12.

Magnetization: 0.00 μB per formula unit

Unit cell a=7.675 b=7.675 c=7.675 alpha=65.80 beta=65.80 gamma=65.80
Fractional coordinates of all 18 atoms:
Sm 0.597 0.597 0.597
Sm 0.403 0.403 0.403
Y 0.000 0.000 0.000
Si 0.500 0.000 0.000
Si 0.000 0.500 0.000
Si 0.000 0.000 0.500
Pt 0.351 0.351 0.899
Pt 0.852 0.852 0.402
Pt 0.402 0.852 0.852
Pt 0.899 0.351 0.351
Pt 0.852 0.402 0.852
Pt 0.351 0.899 0.351
Pt 0.649 0.649 0.101
Pt 0.148 0.148 0.598
Pt 0.598 0.148 0.148
Pt 0.101 0.649 0.649
Pt 0.148 0.598 0.148
Pt 0.649 0.101 0.649

13.
A plane-wave DFT calculation with GGA-PBE was carried out for a relaxed structure of Sm2ZnSi3Pt4.

Magnetization: 0.00 μB per formula unit

Unit cell a=4.251 b=4.251 c=9.993 alpha=90.00 beta=90.00 gamma=90.00
Fractional coordinates of all 10 atoms:
Sm 0.500 0.000 0.254
Sm 0.000 0.500 0.746
Zn 0.500 0.500 0.500
Si 0.000 0.000 0.500
Si 0.500 0.000 0.871
Si 0.000 0.500 0.129
Pt 0.500 0.500 0.000
Pt 0.000 0.000 0.000
Pt 0.500 0.000 0.634
Pt 0.000 0.500 0.366

14.
A plane-wave DFT calculation with GGA-PBE was carried out for a relaxed structure of SmZn2SiPt4.

Magnetization: 0.00 μB per formula unit

Unit cell a=4.331 b=4.331 c=8.822 alpha=75.79 beta=75.79 gamma=60.00
Fractional coordinates of all 8 atoms:
Sm 0.000 0.000 0.000
Zn 0.750 0.750 0.750
Zn 0.250 0.250 0.250
Si 0.500 0.500 0.500
Pt 0.406 0.406 0.783
Pt 0.863 0.863 0.412
Pt 0.137 0.137 0.588
Pt 0.594 0.594 0.217

15.
A plane-wave DFT calculation with GGA-PBE was carried out for a relaxed structure of Sm3ZnSi2Pt9.

Magnetization: 0.00 μB per formula unit

Unit cell a=5.718 b=5.718 c=10.716 alpha=90.00 beta=90.00 gamma=120.00
Fractional coordinates of all 15 atoms:
Sm 0.333 0.667 0.587
Sm 0.000 0.000 0.000
Sm 0.667 0.333 0.413
Zn 0.000 0.000 0.500
Si 0.333 0.667 0.163
Si 0.667 0.333 0.837
Pt 0.837 0.163 0.685
Pt 0.837 0.675 0.685
Pt 0.325 0.163 0.685
Pt 0.675 0.837 0.315
Pt 0.163 0.325 0.315
Pt 0.163 0.837 0.315
Pt 0.500 0.000 0.000
Pt 0.000 0.500 0.000
Pt 0.500 0.500 0.000

16.
A plane-wave DFT calculation with GGA-PBE was carried out for a relaxed structure of Sm2ZnSi3Pt12.

Magnetization: 0.00 μB per formula unit

Unit cell a=7.618 b=7.618 c=7.618 alpha=65.68 beta=65.68 gamma=65.68
Fractional coordinates of all 18 atoms:
Sm 0.612 0.612 0.612
Sm 0.388 0.388 0.388
Zn 0.000 0.000 0.000
Si 0.500 0.000 0.000
Si 0.000 0.500 0.000
Si 0.000 0.000 0.500
Pt 0.355 0.355 0.896
Pt 0.869 0.869 0.373
Pt 0.373 0.869 0.869
Pt 0.896 0.355 0.355
Pt 0.869 0.373 0.869
Pt 0.355 0.896 0.355
Pt 0.645 0.645 0.104
Pt 0.131 0.131 0.627
Pt 0.627 0.131 0.131
Pt 0.104 0.645 0.645
Pt 0.131 0.627 0.131
Pt 0.645 0.104 0.645

17.
A plane-wave DFT calculation with GGA-PBE was carried out for a relaxed structure of SmZnSi2Pt2.

Magnetization: 0.00 μB per formula unit

Unit cell a=4.214 b=4.214 c=6.872 alpha=90.00 beta=90.00 gamma=120.00
Fractional coordinates of all 6 atoms:
Sm 0.000 0.000 0.000
Zn 0.000 0.000 0.500
Si 0.667 0.333 0.284
Si 0.333 0.667 0.716
Pt 0.667 0.333 0.681
Pt 0.333 0.667 0.319

18.
A plane-wave DFT calculation with GGA-PBE was carried out for a relaxed structure of SmZnSi2Pt5.

Magnetization: 0.00 μB per formula unit

Unit cell a=4.066 b=4.066 c=10.420 alpha=90.00 beta=90.00 gamma=90.00
Fractional coordinates of all 9 atoms:
Sm 0.000 0.000 0.500
Zn 0.000 0.000 0.000
Si 0.500 0.500 0.275
Si 0.500 0.500 0.725
Pt 0.000 0.500 0.158
Pt 0.500 0.000 0.158
Pt 0.000 0.500 0.842
Pt 0.500 0.000 0.842
Pt 0.500 0.500 0.500

19.
A plane-wave DFT calculation with GGA-PBE was carried out for a relaxed structure of Sm2ZrSi4Pt3.

Magnetization: 0.00 μB per formula unit

Unit cell a=4.221 b=4.221 c=10.543 alpha=90.00 beta=90.00 gamma=90.00
Fractional coordinates of all 10 atoms:
Sm 0.500 0.000 0.235
Sm 0.000 0.500 0.765
Zr 0.500 0.500 0.500
Si 0.500 0.500 0.000
Si 0.000 0.000 0.000
Si 0.500 0.000 0.654
Si 0.000 0.500 0.346
Pt 0.000 0.000 0.500
Pt 0.500 0.000 0.885
Pt 0.000 0.500 0.115

20.
A plane-wave DFT calculation with GGA-PBE was carried out for a relaxed structure of SiSn2Pt.

Magnetization: 0.00 μB per formula unit

Unit cell a=6.288 b=6.288 c=7.150 alpha=63.91 beta=63.91 gamma=90.00
Fractional coordinates of all 8 atoms:
Si 0.500 0.500 0.000
Si 0.250 0.750 0.500
Sn 0.628 0.125 0.250
Sn 0.122 0.625 0.250
Sn 0.375 0.372 0.750
Sn 0.875 0.878 0.750
Pt 0.000 0.000 0.000
Pt 0.750 0.250 0.500

For each record above, in turn, the calculated final energy values are -5.82; -7.17; -6.68; -6.52; -6.20; -6.86; -6.64; -7.03; -6.82; -6.67; -6.88; -6.37; -6.17; -5.35; -6.20; -6.04; -5.64; -5.95; -6.81; -4.76 eV per atom.